Below is a relaxed structure of SrLaHg6, with properties calculated at the PBE-GGA level.

Raw total energy   -1.46 eV/atom
Mass density   11.36 g cm⁻³
Total moment   0.00 μB/cell

a b c (Å): 6.8216 6.8216 5.1893
angles (deg): 90.00 90.00 120.00
With the nearest neighbours (Å) after each atom.
Atoms (fractional coordinates):
Sr (0.6667, 0.3333, 0.5000)  12 Hg 3.31-3.41
Hg (0.0137, 0.5068, 0.0000)  8 Hg 3.22-3.55, 2 Sr 3.31, 2 La 3.41
Hg (0.4932, 0.5068, 0.0000)  8 Hg 3.22-3.55, 2 Sr 3.31, 2 La 3.41
Hg (0.6580, 0.8290, 0.5000)  8 Hg 3.22-3.50, 2 La 3.29, 2 Sr 3.41
Hg (0.1710, 0.3420, 0.5000)  8 Hg 3.22-3.50, 2 La 3.29, 2 Sr 3.41
Hg (0.4932, 0.9863, 0.0000)  8 Hg 3.22-3.55, 2 Sr 3.31, 2 La 3.41
Hg (0.1710, 0.8290, 0.5000)  8 Hg 3.22-3.50, 2 La 3.29, 2 Sr 3.41
La (0.0000, 0.0000, 0.0000)  12 Hg 3.29-3.41

Below is a relaxed structure of Cu2Ag3, with properties calculated at the PBE-GGA level.

Mass density   9.64 g cm⁻³
Energy of formation from the pure elements   0.09 eV/atom
Energy above the lowest structure with this stoichiometry   0.0583 eV per atom

a b c (Å): 7.4820 7.4820 5.6859
angles (deg): 101.26 101.26 29.89
With the nearest neighbours (Å) after each atom.
Atoms (fractional coordinates):
Ag (0.4074, 0.4074, 0.7077)  7 Cu 2.68-2.82, 5 Ag 2.78-2.97
Cu (0.5964, 0.5964, 0.7977)  7 Ag 2.68-2.85, 5 Cu 2.68-2.89
Ag (0.1958, 0.1958, 0.0882)  7 Ag 2.73-2.96, 5 Cu 2.75-2.80
Cu (0.0012, 0.0012, 0.9892)  7 Ag 2.69-2.80, 5 Cu 2.70-2.99
Ag (0.4007, 0.4007, 0.1922)  6 Ag 2.73-2.91, 6 Cu 2.76-2.87
Ag (0.5932, 0.5932, 0.2972)  6 Ag 2.73-2.96, 6 Cu 2.75-2.85
Cu (0.8005, 0.8005, 0.8990)  10 Ag 2.76-2.86, 2 Cu 2.84-2.89
Ag (0.8024, 0.8024, 0.4031)  9 Ag 2.81-2.96, 3 Cu 2.82-2.86
Cu (0.0043, 0.0043, 0.5160)  4 Cu 2.68-2.99, 8 Ag 2.74-2.87
Ag (0.1980, 0.1980, 0.6097)  7 Ag 2.73-2.97, 5 Cu 2.74-2.77

Below is a relaxed structure of PuAlGe, with properties calculated at the PBE-GGA level.

Raw total energy   -7.68 eV/atom
Mass density   8.37 g cm⁻³
Total moment   5.85 μB/cell

a b c (Å): 4.5856 4.5856 4.5856
angles (deg): 60.00 60.00 60.00
With the nearest neighbours (Å) after each atom.
Atoms (fractional coordinates):
Ge (0.0000, 0.0000, 0.0000)  4 Pu 2.81, 4 Al 2.81
Pu (0.7500, 0.7500, 0.7500)  4 Ge 2.81
Al (0.2500, 0.2500, 0.2500)  4 Ge 2.81